## CuMoIr2 (GGA-PBEsol)

Data for a relaxed CuMoIr2 crystal.

Structure (POSCAR):
```
CuMoIr2
1.0
5.389 0.000 0.000
0.000 8.789 0.000
-1.264 0.000 2.363
Cu Mo Ir
2 2 4
Cartesian
0.000 0.000 0.000 Cu
2.694 4.395 0.000 Cu
0.000 4.395 0.000 Mo
2.694 0.000 0.000 Mo
0.715 2.197 1.181 Ir
0.715 6.592 1.181 Ir
3.410 2.197 1.181 Ir
3.410 6.592 1.181 Ir
```

Properties
**Mass density**: 16.14 Mg/m³
**ΔE_f**: 193 meV per atom
**Energy above the lowest structure with this stoichiometry**: 273.1 meV per atom
**Uncorrected energy**: -8.744 eV/atom
**D(E_F)**: 3.0 states/eV/f.u.
**Crystal system**: monoclinic